No. 1
# PBE-GGA Tm3ThAg2, optimized geometry
data_Tm3ThAg2
_chemical_formula_sum 'Tm3 Th1 Ag2'
_cell_length_a 3.5852
_cell_length_b 3.5852
_cell_length_c 12.0186
_cell_angle_alpha 90.00
_cell_angle_beta 90.00
_cell_angle_gamma 90.00
_space_group_name_H-M_alt 'P 4/m m m'
_space_group_IT_number 123
_space_group_name_Hall '-P 4 2'
loop_
_atom_site_label
_atom_site_type_symbol
_atom_site_fract_x
_atom_site_fract_y
_atom_site_fract_z
Tm1 Tm 0.0000 0.0000 0.0000
Tm2 Tm 0.0000 0.0000 0.2995
Th1 Th 0.5000 0.5000 0.5000
Ag1 Ag 0.5000 0.5000 0.1500
# Energy relative to the elements ... -21 kJ/mol of atoms



No. 2
# PBE-GGA Ta2AgIr, optimized geometry
data_Ta2AgIr
_chemical_formula_sum 'Ta4 Ag2 Ir2'
_cell_length_a 2.9877
_cell_length_b 4.8036
_cell_length_c 9.6476
_cell_angle_alpha 90.00
_cell_angle_beta 90.00
_cell_angle_gamma 90.00
_space_group_name_H-M_alt 'I m m 2'
_space_group_IT_number 44
loop_
_space_group_symop_operation_xyz
'x,y,z'
'-x,-y,z'
'-x,y,z'
'x,-y,z'
'x+1/2,y+1/2,z+1/2'
'-x+1/2,-y+1/2,z+1/2'
'-x+1/2,y+1/2,z+1/2'
'x+1/2,-y+1/2,z+1/2'
loop_
_atom_site_label
_atom_site_type_symbol
_atom_site_fract_x
_atom_site_fract_y
_atom_site_fract_z
Ta1 Ta 0.0000 0.0000 0.0000
Ta2 Ta 0.0000 0.5000 0.2489
Ag1 Ag 0.0000 0.5000 0.7693
Ir1 Ir 0.0000 0.0000 0.5196
# Energy relative to the elements ... 5 kJ/mol of atoms



No. 3
# PBE-GGA Al2Cu4Au5, optimized geometry
data_Al2Cu4Au5
_chemical_formula_sum 'Al4 Cu8 Au10'
_cell_length_a 19.4956
_cell_length_b 2.8453
_cell_length_c 6.3567
_cell_angle_alpha 90.00
_cell_angle_beta 90.37
_cell_angle_gamma 90.00
_space_group_name_H-M_alt 'C 1 2/m 1'
_space_group_IT_number 12
loop_
_space_group_symop_operation_xyz
'x,y,z'
'-x,-y,-z'
'-x,y,-z'
'x,-y,z'
'x+1/2,y+1/2,z'
'-x+1/2,-y+1/2,-z'
'-x+1/2,y+1/2,-z'
'x+1/2,-y+1/2,z'
loop_
_atom_site_label
_atom_site_type_symbol
_atom_site_fract_x
_atom_site_fract_y
_atom_site_fract_z
Al1 Al 0.0855 0.0000 0.2596
Cu1 Cu 0.0430 0.0000 0.6496
Cu2 Cu 0.1435 0.5000 0.5388
Au1 Au 0.0000 0.5000 0.0000
Au2 Au 0.1551 0.0000 0.9050
Au3 Au 0.2276 0.0000 0.2915
# Energy relative to the elements ... -7 kJ/mol of atoms



No. 4
# PBE-GGA PrPaSi, optimized geometry
data_PrPaSi
_chemical_formula_sum 'Pr1 Pa1 Si1'
_cell_length_a 4.5820
_cell_length_b 4.5820
_cell_length_c 4.2254
_cell_angle_alpha 90.00
_cell_angle_beta 90.00
_cell_angle_gamma 120.00
_space_group_name_H-M_alt 'P 3 m 1'
_space_group_IT_number 156
loop_
_space_group_symop_operation_xyz
'x,y,z'
'-y,x-y,z'
'-x+y,-x,z'
'-y,-x,z'
'-x+y,y,z'
'x,x-y,z'
loop_
_atom_site_label
_atom_site_type_symbol
_atom_site_fract_x
_atom_site_fract_y
_atom_site_fract_z
Pr1 Pr 0.0000 0.0000 0.0000
Pa1 Pa 0.3333 0.6667 0.5593
Si1 Si 0.6667 0.3333 0.3104
# E above lowest polymorph ... 0.091 eV/atom



No. 5
Computed, not measured: LaCe3Sm4Te8 after structural relaxation at the PBE-GGA level of DFT.

CIF file:
```
data_LaCe3Sm4Te8
_chemical_formula_sum 'La3 Ce9 Sm12 Te24'
_cell_length_a 8.9376
_cell_length_b 8.9376
_cell_length_c 22.0541
_cell_angle_alpha 90.00
_cell_angle_beta 90.00
_cell_angle_gamma 120.00
_space_group_name_H-M_alt 'R -3 m'
_space_group_IT_number 166
_space_group_name_Hall '-R 3 2"'
loop_
_atom_site_label
_atom_site_type_symbol
_atom_site_fract_x
_atom_site_fract_y
_atom_site_fract_z
La1 La 0.0000 0.0000 0.0000
Ce1 Ce 0.0000 0.5000 0.0000
Sm1 Sm 0.0000 0.0000 0.5000
Sm2 Sm 0.0000 0.5000 0.5000
Te1 Te 0.0000 0.0000 0.2488
Te2 Te 0.0025 0.5012 0.2482
```



No. 6
# PBE-GGA AlAg2Rh, optimized geometry
data_AlAg2Rh
_chemical_formula_sum 'Al2 Ag4 Rh2'
_cell_length_a 3.8404
_cell_length_b 3.8404
_cell_length_c 8.6764
_cell_angle_alpha 90.00
_cell_angle_beta 90.00
_cell_angle_gamma 90.00
_space_group_name_H-M_alt 'I 4/m m m'
_space_group_IT_number 139
_space_group_name_Hall '-I 4 2'
loop_
_atom_site_label
_atom_site_type_symbol
_atom_site_fract_x
_atom_site_fract_y
_atom_site_fract_z
Al1 Al 0.0000 0.0000 0.0000
Ag1 Ag 0.0000 0.5000 0.2500
Rh1 Rh 0.0000 0.0000 0.5000
# Energy relative to the elements ... -12 kJ/mol of atoms



No. 7
# PBE-GGA Ba3P, optimized geometry
data_Ba3P
_chemical_formula_sum 'Ba6 P2'
_cell_length_a 4.2877
_cell_length_b 12.8179
_cell_length_c 7.7482
_cell_angle_alpha 90.00
_cell_angle_beta 90.00
_cell_angle_gamma 90.00
_space_group_name_H-M_alt 'I m m 2'
_space_group_IT_number 44
loop_
_space_group_symop_operation_xyz
'x,y,z'
'-x,-y,z'
'-x,y,z'
'x,-y,z'
'x+1/2,y+1/2,z+1/2'
'-x+1/2,-y+1/2,z+1/2'
'-x+1/2,y+1/2,z+1/2'
'x+1/2,-y+1/2,z+1/2'
loop_
_atom_site_label
_atom_site_type_symbol
_atom_site_fract_x
_atom_site_fract_y
_atom_site_fract_z
Ba1 Ba 0.0000 0.0000 0.0000
Ba2 Ba 0.0000 0.1597 0.4536
P1 P 0.0000 0.5000 0.7987
# E above lowest polymorph ... 0.049 eV/atom
# Energy relative to the elements ... -51 kJ/mol of atoms



No. 8
Computed, not measured: Ho4Tm3Te4 after structural relaxation at the PBE-GGA level of DFT.

CIF file:
```
data_Ho4Tm3Te4
_chemical_formula_sum 'Ho8 Tm6 Te8'
_cell_length_a 3.8564
_cell_length_b 9.1776
_cell_length_c 17.3621
_cell_angle_alpha 90.00
_cell_angle_beta 90.00
_cell_angle_gamma 90.00
_space_group_name_H-M_alt 'I m m m'
_space_group_IT_number 71
_space_group_name_Hall '-I 2 2'
loop_
_atom_site_label
_atom_site_type_symbol
_atom_site_fract_x
_atom_site_fract_y
_atom_site_fract_z
Ho1 Ho 0.0000 0.1854 0.1653
Tm1 Tm 0.0000 0.0000 0.3982
Tm2 Tm 0.0000 0.5000 0.5000
Te1 Te 0.0000 0.3029 0.0000
Te2 Te 0.0000 0.5000 0.2372
```



No. 9
Computed, not measured: TcSbRu4 after structural relaxation at the PBE-GGA level of DFT.

CIF file:
```
data_TcSbRu4
_chemical_formula_sum 'Tc4 Sb4 Ru16'
_cell_length_a 7.2462
_cell_length_b 7.2462
_cell_length_c 7.2462
_cell_angle_alpha 90.00
_cell_angle_beta 90.00
_cell_angle_gamma 90.00
_space_group_name_H-M_alt 'F -4 3 m'
_space_group_IT_number 216
_space_group_name_Hall 'F -4 2 3'
loop_
_atom_site_label
_atom_site_type_symbol
_atom_site_fract_x
_atom_site_fract_y
_atom_site_fract_z
Tc1 Tc 0.0000 0.0000 0.0000
Sb1 Sb 0.2500 0.2500 0.2500
Ru1 Ru 0.1255 0.1255 0.6255
```



No. 10
Computed, not measured: CaCe2Cl8 after structural relaxation at the PBE-GGA level of DFT.

CIF file:
```
data_CaCe2Cl8
_chemical_formula_sum 'Ca2 Ce4 Cl16'
_cell_length_a 15.7956
_cell_length_b 4.6347
_cell_length_c 9.5485
_cell_angle_alpha 90.00
_cell_angle_beta 101.92
_cell_angle_gamma 90.00
_space_group_name_H-M_alt 'C 1 2/m 1'
_space_group_IT_number 12
loop_
_space_group_symop_operation_xyz
'x,y,z'
'-x,-y,-z'
'-x,y,-z'
'x,-y,z'
'x+1/2,y+1/2,z'
'-x+1/2,-y+1/2,-z'
'-x+1/2,y+1/2,-z'
'x+1/2,-y+1/2,z'
loop_
_atom_site_label
_atom_site_type_symbol
_atom_site_fract_x
_atom_site_fract_y
_atom_site_fract_z
Ca1 Ca 0.0000 0.0000 0.0000
Ce1 Ce 0.2380 0.0000 0.7136
Cl1 Cl 0.0769 0.0000 0.7654
Cl2 Cl 0.0847 0.5000 0.1420
Cl3 Cl 0.1740 0.5000 0.5234
Cl4 Cl 0.2366 0.0000 0.1231
```



No. 11
# PBE-GGA Cs3Bi5Pb2, optimized geometry
data_Cs3Bi5Pb2
_chemical_formula_sum 'Cs12 Bi20 Pb8'
_cell_length_a 11.1829
_cell_length_b 18.7479
_cell_length_c 8.4970
_cell_angle_alpha 90.00
_cell_angle_beta 90.00
_cell_angle_gamma 90.00
_space_group_name_H-M_alt 'I b a m'
_space_group_IT_number 72
_space_group_name_Hall '-I 2 2c'
loop_
_atom_site_label
_atom_site_type_symbol
_atom_site_fract_x
_atom_site_fract_y
_atom_site_fract_z
Cs1 Cs 0.0000 0.0000 0.2500
Cs2 Cs 0.2415 0.3589 0.0000
Bi1 Bi 0.0000 0.2578 0.2500
Bi2 Bi 0.0000 0.5000 0.2500
Bi3 Bi 0.1120 0.3780 0.5000
Pb1 Pb 0.1059 0.1519 0.0000
# Energy relative to the elements ... -15 kJ/mol of atoms



No. 12
Computed, not measured: La3PrY2Se6 after structural relaxation at the PBE-GGA level of DFT.

CIF file:
```
data_La3PrY2Se6
_chemical_formula_sum 'La6 Pr2 Y4 Se12'
_cell_length_a 7.3036
_cell_length_b 12.6865
_cell_length_c 7.3447
_cell_angle_alpha 90.00
_cell_angle_beta 109.44
_cell_angle_gamma 90.00
_space_group_name_H-M_alt 'C 1 2/m 1'
_space_group_IT_number 12
loop_
_space_group_symop_operation_xyz
'x,y,z'
'-x,-y,-z'
'-x,y,-z'
'x,-y,z'
'x+1/2,y+1/2,z'
'-x+1/2,-y+1/2,-z'
'-x+1/2,y+1/2,-z'
'x+1/2,-y+1/2,z'
loop_
_atom_site_label
_atom_site_type_symbol
_atom_site_fract_x
_atom_site_fract_y
_atom_site_fract_z
La1 La 0.0000 0.0000 0.0000
La2 La 0.0000 0.3380 0.0000
Pr1 Pr 0.0000 0.5000 0.5000
Y1 Y 0.0000 0.1668 0.5000
Se1 Se 0.2348 0.0000 0.7342
Se2 Se 0.2489 0.1715 0.2611
```



no.,uncorrected energy (Ry per atom)
1,-0.34077
2,-0.64682
3,-0.27399
4,-0.47424
5,-0.41014
6,-0.31771
7,-0.24462
8,-0.35793
9,-0.58693
10,-0.35357
11,-0.22704
12,-0.46686